# NaUNi2O5 PBE+U optimized geometry
data_NaUNi2O5
_chemical_formula_sum 'Na2 U2 Ni4 O10'
_space_group_name_H-M_alt 'I m m m'
_space_group_IT_number 71
_space_group_name_Hall '-I 2 2'
_cell_length_a 4.600
_cell_length_b 5.759
_cell_length_c 9.661
_cell_angle_alpha 90.00
_cell_angle_beta 90.00
_cell_angle_gamma 90.00
loop_
_atom_site_label
_atom_site_fract_x
_atom_site_fract_y
_atom_site_fract_z
Na1 0.000 0.000 0.000
U1 0.000 0.000 0.500
Ni1 0.000 0.500 0.219
O1 0.000 0.247 0.350
O2 0.000 0.500 0.000
# Calculated total energy, eV/f.u.: -58.0
# DOS(E_F), states/eV per cell: 6.712